{"formula": "Nb2VHRh", "functional": "GGA-PBE", "state": "relaxed", "lattice": [[4.335, 0.000, 0.000], [0.000, 4.335, 0.000], [0.000, 0.000, 3.576]], "species": ["Nb", "Nb", "H", "Rh", "V"], "fractional_positions": [[0.000, 0.500, 0.000], [0.500, 0.000, 0.000], [0.000, 0.000, 0.000], [0.000, 0.000, 0.500], [0.500, 0.500, 0.500]], "total_magnetization_mub_per_cell": 0.0, "volume_a3_per_atom": 13.4, "de_polymorph_mev_per_atom": 36, "dos_ef_per_ev_fu": 2.880, "sg": "P4/mmm (123)"}

---

{"formula": "PmY2HoSe6", "functional": "GGA-PBE", "state": "relaxed", "lattice": [[7.258, 0.000, 0.000], [3.630, 6.286, 0.000], [3.629, 2.096, 6.505]], "species": ["Se", "Se", "Se", "Se", "Se", "Se", "Y", "Y", "Pm", "Ho"], "fractional_positions": [[0.609, 0.225, 0.249], [0.224, 0.918, 0.249], [0.405, 0.722, 0.751], [0.122, 0.405, 0.751], [0.722, 0.122, 0.751], [0.918, 0.609, 0.249], [0.515, 0.515, 0.454], [0.013, 0.013, 0.961], [0.815, 0.815, 0.556], [0.318, 0.318, 0.045]], "total_magnetization_mub_per_cell": 0.0, "volume_a3_per_atom": 29.7, "dos_ef_per_ev_fu": 0.000, "e_form_raw_mev_per_atom": -1855, "sg": "R3 (146)"}

---

{"formula": "Ca4ScHg", "functional": "GGA-PBE", "state": "relaxed", "lattice": [[-1.379, -6.455, 1.243], [-5.555, -1.654, 3.395], [-5.099, -3.015, -3.166]], "species": ["Hg", "Ca", "Ca", "Ca", "Ca", "Sc"], "fractional_positions": [[0.750, 0.750, 0.750], [0.374, 0.877, 0.374], [0.877, 0.374, 0.374], [0.374, 0.374, 0.374], [0.374, 0.374, 0.877], [0.000, 0.000, 0.000]], "total_magnetization_mub_per_cell": 1.8, "volume_a3_per_atom": 35.7, "dos_ef_per_ev_fu": 10.436, "formation_energy_ev_per_atom": 0.3864, "sg": "F-43m (216)"}

---

{"formula": "Tb6Ce2Pm3Nd", "functional": "GGA-PBE", "state": "relaxed", "lattice": [[-1.838, -2.420, 5.425], [-0.898, -3.160, -5.279], [11.323, -3.211, 1.217]], "species": ["Pm", "Pm", "Pm", "Tb", "Tb", "Tb", "Tb", "Tb", "Tb", "Ce", "Ce", "Nd"], "fractional_positions": [[0.500, 0.500, 0.500], [0.834, 0.166, 0.500], [0.166, 0.834, 0.500], [0.917, 0.581, 0.753], [0.083, 0.419, 0.247], [0.747, 0.747, 0.247], [0.581, 0.917, 0.753], [0.419, 0.083, 0.247], [0.253, 0.253, 0.753], [0.667, 0.333, 0.000], [0.333, 0.667, 0.000], [0.000, 0.000, 0.000]], "total_magnetization_mub_per_cell": 1.9, "volume_a3_per_atom": 32.5, "dos_ef_per_ev_fu": 21.802, "formation_energy_ev_per_atom": 0.0468, "sg": "C2/m (12)"}

---

{"formula": "AlRu4Au", "functional": "GGA-PBE", "state": "relaxed", "lattice": [[0.000, 3.615, 3.615], [3.615, 0.000, 3.615], [3.615, 3.615, 0.000]], "species": ["Au", "Al", "Ru", "Ru", "Ru", "Ru"], "fractional_positions": [[0.000, 0.000, 0.000], [0.750, 0.750, 0.750], [0.875, 0.375, 0.375], [0.375, 0.875, 0.375], [0.375, 0.375, 0.375], [0.375, 0.375, 0.875]], "total_magnetization_mub_per_cell": 1.9, "volume_a3_per_atom": 15.7, "dos_ef_per_ev_fu": 9.207, "formation_energy_ev_per_atom": 0.4470, "sg": "F-43m (216)"}

---

{"formula": "AlBi2Cl", "functional": "GGA-PBE", "state": "relaxed", "lattice": [[4.590, 0.000, 0.000], [0.000, 4.590, 0.000], [2.295, 2.295, 11.353]], "species": ["Bi", "Bi", "Bi", "Bi", "Cl", "Cl", "Al", "Al"], "fractional_positions": [[0.156, 0.625, 0.250], [0.375, 0.406, 0.750], [0.875, 0.844, 0.750], [0.594, 0.125, 0.250], [0.000, 0.000, 0.000], [0.750, 0.250, 0.500], [0.250, 0.750, 0.500], [0.500, 0.500, 0.000]], "total_magnetization_mub_per_cell": 0.0, "volume_a3_per_atom": 29.9, "de_polymorph_mev_per_atom": 45, "dos_ef_per_ev_fu": 1.450, "e_form_raw_mev_per_atom": 26, "sg": "I-42d (122)"}

---

VASP energy / eV per atom: -8.124, -6.171, -2.054, -4.842, -6.907, -3.312